The following is a PBE calculation of crystalline MoOsPt2 at its relaxed geometry, from Alexandria.

Cell and atoms, written as POSCAR:
```
MoOsPt2
1.0
4.6374 -1.3855 0.0000
4.6374 1.3855 0.0000
-0.8366 0.0000 4.7353
Mo Os Pt
1 1 2
Direct
0.0000 0.0000 0.0000
0.5000 0.5000 0.5000
0.2481 0.2481 0.7482
0.7519 0.7519 0.2518
```

Values from the calculation:
Calculated density, kg/m3: 18456
Calculated formation energy, eV/atom: -0.0228
D(E_F), states/eV/cell: 3.455